[1]
# PmY3Ho5

Crystalline PmY3Ho5 at its relaxed geometry (PBE-GGA, Alexandria).

Cell: 8.662 8.662 9.828 Å, 116.15 116.15 90.00°
Fractional coordinates of all 18 atoms:
Y  0.382  0.882  0.000
Y  0.750  0.750  0.500
Y  0.118  0.382  0.000
Y  0.882  0.618  0.000
Y  0.250  0.250  0.500
Y  0.618  0.118  0.000
Ho  0.843  0.933  0.276
Ho  0.000  0.000  0.000
Ho  0.067  0.567  0.724
Ho  0.933  0.433  0.276
Ho  0.343  0.843  0.276
Ho  0.567  0.657  0.724
Ho  0.157  0.067  0.724
Ho  0.433  0.343  0.276
Ho  0.500  0.500  0.000
Ho  0.657  0.157  0.724
Pm  0.750  0.250  0.500
Pm  0.250  0.750  0.500

Results
The excess energy over the best structure of this formula in the dataset is 0.0 meV/atom. Its density of states at the Fermi level is 11.7 states/eV/f.u. Its calculated total energy is -4.93 eV/atom.

[2]
# Pm5Y12Ho2

Crystalline Pm5Y12Ho2 at its relaxed geometry (PBE-GGA, Alexandria).

Cell: 6.209 11.328 15.638 Å, 142.91 109.37 79.46°
Fractional coordinates of all 19 atoms:
Y  0.315  0.475  0.869
Y  0.474  0.211  0.552
Y  0.370  0.053  0.764
Y  0.106  0.157  0.288
Y  0.894  0.843  0.712
Y  0.210  0.314  0.079
Y  0.630  0.947  0.236
Y  0.685  0.525  0.131
Y  0.526  0.789  0.448
Y  0.949  0.423  0.606
Y  0.051  0.577  0.394
Y  0.790  0.686  0.921
Pm  0.844  0.264  0.816
Pm  0.578  0.366  0.340
Pm  0.156  0.736  0.184
Pm  0.422  0.634  0.660
Pm  0.000  0.000  0.500
Ho  0.736  0.104  0.026
Ho  0.264  0.896  0.974

Results
The excess energy over the best structure of this formula in the dataset is 0.0 meV/atom. Its density of states at the Fermi level is 28.3 states/eV/f.u. Its calculated total energy is -5.80 eV/atom.

[3]
# Pm4YHo

Crystalline Pm4YHo at its relaxed geometry (PBE-GGA, Alexandria).

Cell: 6.338 6.338 6.010 Å, 90.08 90.08 56.46°
Fractional coordinates of all 6 atoms:
Pm  0.838  0.838  0.515
Pm  0.162  0.162  0.485
Pm  0.663  0.663  0.015
Pm  0.337  0.337  0.985
Ho  0.000  0.000  0.000
Y  0.500  0.500  0.500

Results
The excess energy over the best structure of this formula in the dataset is 0.0 meV/atom. Its density of states at the Fermi level is 11.7 states/eV/f.u. Its calculated total energy is -4.90 eV/atom.

[4]
# Pm2YHo5

Crystalline Pm2YHo5 at its relaxed geometry (PBE-GGA, Alexandria).

Cell: 5.033 7.127 14.253 Å, 90.00 90.00 90.00°
Fractional coordinates of all 16 atoms:
Ho  0.500  0.749  0.626
Ho  0.000  0.000  0.751
Ho  0.000  0.500  0.251
Ho  0.500  0.251  0.374
Ho  0.000  0.000  0.249
Ho  0.500  0.249  0.874
Ho  0.000  0.500  0.749
Ho  0.000  0.500  0.500
Ho  0.000  0.000  0.000
Ho  0.500  0.751  0.126
Y  0.000  0.000  0.500
Y  0.000  0.500  0.000
Pm  0.500  0.750  0.375
Pm  0.500  0.750  0.875
Pm  0.500  0.250  0.625
Pm  0.500  0.250  0.125

Results
The excess energy over the best structure of this formula in the dataset is 0.0 meV/atom. Its density of states at the Fermi level is 10.7 states/eV/f.u. Its calculated total energy is -4.84 eV/atom.

[5]
# Pm4Y5Ho3

Crystalline Pm4Y5Ho3 at its relaxed geometry (PBE-GGA, Alexandria).

Cell: 5.927 8.623 9.709 Å, 105.86 72.23 69.90°
Site moments in Bohr magnetons follow the coordinates.
Fractional coordinates of all 12 atoms:
Pm  0.165  0.051  0.618  0.00
Pm  0.137  0.779  0.947  0.00
Pm  0.835  0.949  0.382  0.00
Pm  0.863  0.221  0.053  0.00
Y  0.500  0.500  0.500  0.17
Y  0.787  0.542  0.884  0.01
Y  0.632  0.940  0.796  0.01
Y  0.368  0.060  0.204  0.01
Y  0.213  0.458  0.116  0.01
Ho  0.000  0.500  0.500  0.22
Ho  0.477  0.312  0.735  0.01
Ho  0.523  0.688  0.265  0.01

Results
The excess energy over the best structure of this formula in the dataset is 207.7 meV/atom. Its density of states at the Fermi level is 20.1 states/eV/f.u. Its calculated total energy is -5.20 eV/atom.

[6]
# PmYHo2

Crystalline PmYHo2 at its relaxed geometry (PBE-GGA, Alexandria).

Cell: 5.044 5.047 5.047 Å, 90.00 90.00 90.00°
Fractional coordinates of all 4 atoms:
Ho  0.000  0.000  0.500
Ho  0.000  0.500  0.000
Y  0.500  0.000  0.000
Pm  0.500  0.500  0.500

Results
The excess energy over the best structure of this formula in the dataset is 9.2 meV/atom. Its density of states at the Fermi level is 5.8 states/eV/f.u. Its calculated total energy is -5.07 eV/atom.

[7]
# Pm2Y5Ho12

Crystalline Pm2Y5Ho12 at its relaxed geometry (PBE-GGA, Alexandria).

Cell: 9.167 12.378 8.513 Å, 132.34 90.00 111.73°
Fractional coordinates of all 19 atoms:
Pm  0.317  0.000  0.000
Pm  0.683  0.000  0.000
Ho  0.663  0.689  0.934
Ho  0.093  0.186  0.301
Ho  0.556  0.113  0.781
Ho  0.434  0.253  0.598
Ho  0.566  0.747  0.402
Ho  0.907  0.814  0.699
Ho  0.026  0.689  0.934
Ho  0.819  0.253  0.598
Ho  0.181  0.747  0.402
Ho  0.444  0.887  0.219
Ho  0.337  0.311  0.066
Ho  0.974  0.311  0.066
Y  0.302  0.603  0.612
Y  0.767  0.534  0.109
Y  0.233  0.466  0.891
Y  0.000  0.000  0.500
Y  0.698  0.397  0.388

Results
The excess energy over the best structure of this formula in the dataset is 61.0 meV/atom. Its density of states at the Fermi level is 28.6 states/eV/f.u. Its calculated total energy is -4.96 eV/atom.

[8]
# Pm4Y3Ho5

Crystalline Pm4Y3Ho5 at its relaxed geometry (PBE-GGA, Alexandria).

Cell: 5.916 8.586 9.686 Å, 105.40 72.22 69.85°
Site moments in Bohr magnetons follow the coordinates.
Fractional coordinates of all 12 atoms:
Pm  0.834  0.951  0.382  0.00
Pm  0.166  0.049  0.618  0.00
Pm  0.137  0.779  0.947  0.01
Pm  0.863  0.221  0.053  0.01
Y  0.524  0.688  0.264  0.01
Y  0.000  0.500  0.500  0.17
Y  0.476  0.312  0.736  0.01
Ho  0.370  0.060  0.201  0.01
Ho  0.213  0.458  0.116  0.01
Ho  0.630  0.940  0.799  0.01
Ho  0.500  0.500  0.500  0.21
Ho  0.787  0.542  0.884  0.01

Results
Its density of states at the Fermi level is 19.9 states/eV/f.u. Its calculated total energy is -4.87 eV/atom.

[9]
# Pm3Y3Ho4

Crystalline Pm3Y3Ho4 at its relaxed geometry (PBE-GGA, Alexandria).

Cell: 3.693 9.432 9.432 Å, 90.24 90.00 90.00°
Fractional coordinates of all 10 atoms:
Pm  0.500  0.827  0.173
Pm  0.500  0.326  0.327
Pm  0.500  0.673  0.674
Ho  0.000  0.126  0.124
Ho  0.000  0.626  0.374
Ho  0.000  0.375  0.625
Ho  0.000  0.876  0.874
Y  0.000  0.496  0.998
Y  0.000  0.002  0.504
Y  0.500  0.174  0.826

Results
Its density of states at the Fermi level is 8.0 states/eV/f.u. Its calculated total energy is -5.11 eV/atom.

[10]
# Pm2Y6Ho

Crystalline Pm2Y6Ho at its relaxed geometry (PBE-GGA, Alexandria).

Cell: 6.589 9.650 9.650 Å, 96.19 80.81 80.81°
Fractional coordinates of all 18 atoms:
Y  0.273  0.939  0.541
Y  0.505  0.651  0.275
Y  0.812  0.954  0.778
Y  0.312  0.778  0.954
Y  0.005  0.275  0.651
Y  0.227  0.459  0.061
Y  0.995  0.725  0.349
Y  0.688  0.222  0.046
Y  0.495  0.349  0.725
Y  0.727  0.061  0.459
Y  0.188  0.046  0.222
Y  0.773  0.541  0.939
Pm  0.372  0.335  0.384
Pm  0.128  0.616  0.665
Pm  0.628  0.665  0.616
Pm  0.872  0.384  0.335
Ho  0.250  0.118  0.882
Ho  0.750  0.882  0.118

Results
Its density of states at the Fermi level is 12.1 states/eV/f.u. Its calculated total energy is -5.77 eV/atom.

[11]
# PmYHo2

Crystalline PmYHo2 at its relaxed geometry (PBE-GGA, Alexandria).

Cell: 5.693 5.693 5.693 Å, 60.00 60.00 60.00°
Fractional coordinates of all 4 atoms:
Y  0.500  0.500  0.500
Ho  0.250  0.250  0.250
Ho  0.750  0.750  0.750
Pm  0.000  0.000  0.000

Results
The excess energy over the best structure of this formula in the dataset is 119.0 meV/atom. Its density of states at the Fermi level is 9.0 states/eV/f.u. Its calculated total energy is -4.96 eV/atom.

[12]
# Pm8Y2Ho3

Crystalline Pm8Y2Ho3 at its relaxed geometry (PBE-GGA, Alexandria).

Cell: 5.709 7.704 10.915 Å, 110.70 90.00 90.00°
Fractional coordinates of all 13 atoms:
Ho  0.000  0.715  0.000
Ho  0.000  0.285  0.000
Ho  0.500  0.000  0.000
Pm  0.500  0.400  0.211
Pm  0.500  0.811  0.211
Pm  0.000  0.869  0.738
Pm  0.500  0.600  0.789
Pm  0.000  0.670  0.341
Pm  0.000  0.131  0.262
Pm  0.500  0.189  0.789
Pm  0.000  0.330  0.659
Y  0.500  0.241  0.480
Y  0.500  0.759  0.520

Results
The excess energy over the best structure of this formula in the dataset is 142.6 meV/atom. Its density of states at the Fermi level is 19.2 states/eV/f.u. Its calculated total energy is -4.77 eV/atom.

[13]
# Pm2Y2Ho5

Crystalline Pm2Y2Ho5 at its relaxed geometry (PBE-GGA, Alexandria).

Cell: 5.034 9.432 7.967 Å, 53.72 71.58 74.52°
Fractional coordinates of all 9 atoms:
Pm  0.888  0.668  0.557
Pm  0.112  0.332  0.443
Ho  0.333  0.000  0.334
Ho  0.778  0.331  0.112
Ho  0.667  0.000  0.666
Ho  0.000  0.000  0.000
Ho  0.222  0.669  0.888
Y  0.444  0.332  0.781
Y  0.556  0.668  0.219

Results
The excess energy over the best structure of this formula in the dataset is 0.0 meV/atom. Its density of states at the Fermi level is 11.9 states/eV/f.u. Its calculated total energy is -5.02 eV/atom.

[14]
# Pm5Y6Ho

Crystalline Pm5Y6Ho at its relaxed geometry (PBE-GGA, Alexandria).

Cell: 11.875 6.244 6.241 Å, 59.98 85.00 79.96°
Fractional coordinates of all 12 atoms:
Y  0.249  0.584  0.333
Y  0.751  0.750  0.000
Y  0.751  0.416  0.667
Y  0.751  0.083  0.333
Y  0.249  0.250  0.000
Y  0.249  0.917  0.667
Ho  0.000  0.000  0.000
Pm  0.000  0.667  0.667
Pm  0.500  0.500  0.000
Pm  0.500  0.167  0.667
Pm  0.000  0.333  0.333
Pm  0.500  0.833  0.333

Results
Its density of states at the Fermi level is 15.5 states/eV/f.u. Its calculated total energy is -5.58 eV/atom.

[15]
# Pm8Y3Ho2

Crystalline Pm8Y3Ho2 at its relaxed geometry (PBE-GGA, Alexandria).

Cell: 5.727 7.720 10.886 Å, 110.77 90.01 90.00°
Fractional coordinates of all 13 atoms:
Ho  0.499  0.240  0.481
Ho  0.501  0.760  0.519
Pm  0.500  0.401  0.214
Pm  0.000  0.673  0.345
Pm  0.000  0.133  0.266
Pm  0.500  0.187  0.786
Pm  0.000  0.327  0.655
Pm  0.500  0.813  0.214
Pm  0.500  0.599  0.786
Pm  0.000  0.867  0.734
Y  0.500  0.000  0.000
Y  0.000  0.715  0.000
Y  0.000  0.285  0.000

Results
The excess energy over the best structure of this formula in the dataset is 141.2 meV/atom. Its density of states at the Fermi level is 18.7 states/eV/f.u. Its calculated total energy is -4.91 eV/atom.

[16]
# Pm2YHo2

Crystalline Pm2YHo2 at its relaxed geometry (PBE-GGA, Alexandria).

Cell: 6.788 6.788 9.287 Å, 71.96 71.96 55.48°
Fractional coordinates of all 10 atoms:
Ho  0.063  0.736  0.950
Ho  0.264  0.937  0.550
Ho  0.937  0.264  0.050
Ho  0.736  0.063  0.450
Pm  0.868  0.530  0.350
Pm  0.530  0.868  0.850
Pm  0.470  0.132  0.150
Pm  0.132  0.470  0.650
Y  0.335  0.665  0.250
Y  0.665  0.335  0.750

Results
The excess energy over the best structure of this formula in the dataset is 0.0 meV/atom. Its density of states at the Fermi level is 8.1 states/eV/f.u. Its calculated total energy is -5.01 eV/atom.

[17]
# Pm3Y4Ho3

Crystalline Pm3Y4Ho3 at its relaxed geometry (PBE-GGA, Alexandria).

Cell: 3.693 9.458 9.458 Å, 90.25 90.00 90.00°
Fractional coordinates of all 10 atoms:
Ho  0.000  0.002  0.505
Ho  0.500  0.174  0.826
Ho  0.000  0.495  0.998
Y  0.000  0.877  0.873
Y  0.000  0.626  0.374
Y  0.000  0.127  0.123
Y  0.000  0.373  0.627
Pm  0.500  0.827  0.173
Pm  0.500  0.326  0.327
Pm  0.500  0.673  0.674

Results
Its density of states at the Fermi level is 8.1 states/eV/f.u. Its calculated total energy is -5.27 eV/atom.

[18]
# Pm5YHo

Crystalline Pm5YHo at its relaxed geometry (PBE-GGA, Alexandria).

Cell: 6.185 9.348 8.988 Å, 86.31 78.79 70.68°
Fractional coordinates of all 14 atoms:
Pm  0.765  0.694  0.036
Pm  0.143  0.715  0.250
Pm  0.983  0.629  0.646
Pm  0.235  0.306  0.964
Pm  0.542  0.694  0.464
Pm  0.857  0.285  0.750
Pm  0.388  0.629  0.854
Pm  0.458  0.306  0.536
Pm  0.612  0.371  0.146
Pm  0.017  0.371  0.354
Y  0.000  0.000  0.000
Y  0.000  0.000  0.500
Ho  0.511  0.978  0.750
Ho  0.489  0.022  0.250

Results
The excess energy over the best structure of this formula in the dataset is 0.0 meV/atom. Its density of states at the Fermi level is 10.5 states/eV/f.u. Its calculated total energy is -4.80 eV/atom.

[19]
# PmYHoZn

Crystalline PmYHoZn at its relaxed geometry (PBE-GGA, Alexandria).

Cell: 3.581 3.581 8.723 Å, 90.00 90.00 90.00°
Fractional coordinates of all 4 atoms:
Ho  0.500  0.500  0.369
Y  0.500  0.500  0.774
Zn  0.000  0.000  0.569
Pm  0.000  0.000  0.074

Results
The excess energy over the best structure of this formula in the dataset is 0.0 meV/atom. Its density of states at the Fermi level is 4.7 states/eV/f.u. Its calculated total energy is -4.43 eV/atom.

[20]
# PmYHoZn

Crystalline PmYHoZn at its relaxed geometry (PBE-GGA, Alexandria).

Cell: 5.379 5.379 5.379 Å, 60.00 60.00 60.00°
Fractional coordinates of all 4 atoms:
Zn  0.000  0.000  0.000
Pm  0.750  0.750  0.750
Y  0.250  0.250  0.250
Ho  0.500  0.500  0.500

Results
The excess energy over the best structure of this formula in the dataset is 207.3 meV/atom. Its density of states at the Fermi level is 5.3 states/eV/f.u. Its calculated total energy is -4.23 eV/atom.

[21]
# PmYHoZr

Crystalline PmYHoZr at its relaxed geometry (PBE-GGA, Alexandria).

Cell: 5.529 5.529 5.529 Å, 60.00 60.00 60.00°
Site moments in Bohr magnetons follow the coordinates.
Fractional coordinates of all 4 atoms:
Zr  0.250  0.250  0.250  0.80
Y  0.750  0.750  0.750  0.09
Ho  0.500  0.500  0.500  0.30
Pm  0.000  0.000  0.000  0.22

Results
Its density of states at the Fermi level is 7.1 states/eV/f.u. Its calculated total energy is -5.86 eV/atom.